No. 1
DFT (GGA-PBE) results for a geometry-optimized Fe2Rh structure.

It has space group P4/nmm (No. 129, origin choice 2), with a = 2.864 Å, b = 2.864 Å, c = 9.268 Å, α = 90.00°, β = 90.00° and γ = 90.00°. The distinct sites, in fractional coordinates, are Fe at (0.250, 0.250, 0.076), Fe at (0.250, 0.250, 0.770) and Rh at (0.250, 0.250, 0.397).

No. 2
DFT (GGA-PBE) results for a geometry-optimized Ho7InIr2 structure.

It has space group Cmmm (No. 65), with a = 8.817 Å, b = 13.636 Å, c = 5.255 Å, α = 90.00°, β = 90.00° and γ = 90.00°. The distinct sites, in fractional coordinates, are Ho at (0.000, 0.000, 0.000), Ho at (0.000, 0.216, 0.500), Ho at (0.186, 0.370, 0.000), In at (0.000, 0.500, 0.500) and Ir at (0.000, 0.203, 0.000).

Asked for calculated total energy across the records above, the calculation gives -8.090 -5.565 eV/atom in order.